Record 1
Material: Ru2WCl
Method: DFT, PBE
State: optimized geometry

Geometry as extended XYZ:
```
4
Lattice="2.874 -0.024 0.000 -1.256 2.585 0.000 0.000 0.000 8.518" Properties=species:S:1:pos:R:3 pbc="T T T"
W 0.809 1.280 2.130
Cl 0.809 1.280 6.389
Ru 0.000 0.000 4.196
Ru 0.000 0.000 0.063
```

Its space group is Cmmm (65). As for the energy above the most stable polymorph in this dataset: 0.189 eV/atom. The value obtained for the raw formation energy is 0.500 eV per atom. The value obtained for the total magnetic moment is 0.0000 μB/atom.

---

Record 2
Material: Ru2WCl
Method: DFT, PBE
State: optimized geometry

Geometry as extended XYZ:
```
4
Lattice="5.238 0.006 0.000 2.538 4.582 0.000 -3.343 -3.218 2.431" Properties=species:S:1:pos:R:3 pbc="T T T"
Ru 2.877 -0.468 1.215
Ru 0.152 0.090 0.000
W 3.712 2.190 0.000
Cl 1.581 1.852 1.216
```

Its space group is Imm2 (44). As for the energy above the most stable polymorph in this dataset: 0.355 eV/atom. The value obtained for the raw formation energy is 0.666 eV per atom. The value obtained for the total magnetic moment is 0.0000 μB/atom.

---

Record 3
Material: RuW2Cl
Method: DFT, PBE
State: optimized geometry

Geometry as extended XYZ:
```
4
Lattice="4.870 0.000 0.000 1.606 4.597 0.000 -3.238 -2.299 2.819" Properties=species:S:1:pos:R:3 pbc="T T T"
W 0.000 0.000 0.000
W 0.803 2.299 1.410
Ru 2.435 0.000 1.410
Cl 3.238 2.299 0.000
```

Its space group is I-4m2 (119). As for the energy above the most stable polymorph in this dataset: 0.900 eV/atom. The value obtained for the raw formation energy is 1.204 eV per atom. The value obtained for the total magnetic moment is 0.0000 μB/atom.

---

Record 4
Material: Ru2WCl
Method: DFT, PBE
State: optimized geometry

Geometry as extended XYZ:
```
4
Lattice="-0.926 4.670 1.343 -0.681 3.165 3.740 4.386 0.862 0.093" Properties=species:S:1:pos:R:3 pbc="T T T"
Ru 1.499 4.139 2.445
Ru 4.276 1.072 0.235
W 2.084 6.523 3.882
Cl 0.695 2.174 1.294
```

Its space group is C2/m (12). As for the energy above the most stable polymorph in this dataset: 0.309 eV/atom. The value obtained for the raw formation energy is 0.619 eV per atom. The value obtained for the total magnetic moment is 0.0000 μB/atom.

---

Record 5
Material: RuW2Cl
Method: DFT, PBE
State: optimized geometry

Geometry as extended XYZ:
```
4
Lattice="4.579 0.000 0.000 0.000 3.733 0.000 0.000 0.000 3.733" Properties=species:S:1:pos:R:3 pbc="T T T"
Ru 2.289 0.000 1.867
W 0.000 0.000 0.000
W 0.000 1.867 1.867
Cl 2.289 1.867 0.000
```

Its space group is P4/mmm (123). As for the energy above the most stable polymorph in this dataset: 0.967 eV/atom. The value obtained for the raw formation energy is 1.271 eV per atom. The value obtained for the total magnetic moment is 0.0000 μB/atom.

---

Record 6
Material: RuW4Cl
Method: DFT, PBE
State: optimized geometry

Geometry as extended XYZ:
```
6
Lattice="-1.491 -4.841 1.498 -4.983 -0.878 1.517 -3.234 -2.835 -3.067" Properties=species:S:1:pos:R:3 pbc="T T T"
W -5.256 -4.624 -1.547
W -4.388 -5.623 0.726
W -6.127 -3.649 0.736
W -3.646 -3.212 -0.020
Cl -7.281 -6.416 -0.039
Ru 0.000 0.000 0.000
```

Its space group is F-43m (216). The value obtained for the raw formation energy is 1.144 eV per atom. The value obtained for the total magnetic moment is 0.0000 μB/atom.